(1)
CrNi3, optimized geometry, DFT PBE; spin magnetization = 1.84 μB per formula unit; formation enthalpy at 0 K = 0.6 eV/f.u.
1.0
2.4211 0.0000 0.0000
-0.8070 4.6080 0.0000
-0.8070 -2.3040 3.9907
Ni Cr
3 1
direct
0.5000 0.0000 0.5000
0.0000 0.5000 0.5000
0.5000 0.5000 0.0000
0.0000 0.0000 0.0000


(2)
LiCdSb2, optimized geometry, DFT PBE; spin magnetization = 0.00 μB per formula unit; uncorrected formation energy = -0.104 eV/atom
1.0
-2.6997 0.2270 1.7758
-0.0718 -3.2280 -0.2603
4.9359 -0.7225 7.5962
Li Sb Cd
1 2 1
direct
0.5000 0.5000 0.7500
0.0000 0.0000 0.5295
0.0000 0.0000 0.9705
0.5000 0.5000 0.2500


(3)
Mn3V3N, optimized geometry, DFT PBE; spin magnetization = 1.92 μB per formula unit; uncorrected formation energy = -0.456 eV/atom
1.0
6.5911 0.0000 3.8054
2.1970 6.2142 3.8054
0.0000 0.0000 7.6108
Mn V N
12 12 4
direct
0.4183 0.4183 0.4183
0.8317 0.8317 0.8317
0.5050 0.8317 0.8317
0.1250 0.6250 0.6250
0.6250 0.1250 0.6250
0.4183 0.4183 0.7450
0.8317 0.5050 0.8317
0.7450 0.4183 0.4183
0.8317 0.8317 0.5050
0.4183 0.7450 0.4183
0.6250 0.6250 0.1250
0.6250 0.6250 0.6250
0.0599 0.0599 0.4401
0.1901 0.1901 0.8099
0.0599 0.4401 0.4401
0.8099 0.1901 0.1901
0.8099 0.1901 0.8099
0.4401 0.0599 0.0599
0.4401 0.0599 0.4401
0.8099 0.8099 0.1901
0.1901 0.8099 0.1901
0.0599 0.4401 0.0599
0.4401 0.4401 0.0599
0.1901 0.8099 0.8099
0.1250 0.1250 0.6250
0.1250 0.1250 0.1250
0.6250 0.1250 0.1250
0.1250 0.6250 0.1250


(4)
TbAlCu2Si, optimized geometry, DFT PBE; spin magnetization = 0.00 μB per formula unit; uncorrected formation energy = -0.494 eV/atom
1.0
-2.5068 -1.6450 2.5413
-1.0971 -2.6053 -2.7686
5.6641 -1.2370 1.7471
Si Cu Tb Al
1 2 1 1
direct
0.8355 0.8355 0.6711
0.7016 0.2016 0.4032
0.0512 0.0512 0.1023
0.4370 0.4370 0.8741
0.1868 0.6868 0.3736


(5)
Hg2IrRh, optimized geometry, DFT PBE; spin magnetization = 1.02 μB per formula unit; formation enthalpy at 0 K = 1.2 eV/f.u.
1.0
-0.7885 -1.0460 -2.6122
1.5502 -2.4254 0.5033
-6.8275 -3.6341 3.5162
Rh Hg Ir
1 2 1
direct
0.5000 0.5000 0.7247
0.0000 0.0000 0.9698
0.5000 0.5000 0.2779
0.0000 0.0000 0.5276


(6)
Ac2AlGa4Ag3, optimized geometry, DFT PBE; spin magnetization = 0.00 μB per formula unit; formation enthalpy at 0 K = -4.1 eV/f.u.
1.0
4.4958 0.0000 0.0000
0.0000 4.4958 0.0000
0.0000 0.0000 11.1093
Ga Ag Ac Al
4 3 2 1
direct
0.5000 0.0000 0.6330
0.0000 0.5000 0.3670
0.5000 0.5000 0.0000
0.0000 0.0000 0.0000
0.0000 0.5000 0.1312
0.0000 0.0000 0.5000
0.5000 0.0000 0.8688
0.5000 0.0000 0.2493
0.0000 0.5000 0.7507
0.5000 0.5000 0.5000


(7)
ScTaCr, optimized geometry, DFT PBE; spin magnetization = 0.00 μB per formula unit; formation enthalpy at 0 K = 0.9 eV/f.u.
1.0
-6.1776 1.9265 -2.8329
-4.3770 1.3654 -5.0665
-1.8614 -2.2007 0.4881
Sc Cr Ta
1 1 1
direct
0.3447 0.3447 0.6553
0.0078 0.0078 0.9922
0.6475 0.6475 0.3525


(8)
Dy4Pb2O, optimized geometry, DFT PBE; spin magnetization = 0.35 μB per formula unit; uncorrected formation energy = -1.156 eV/atom
1.0
-0.8883 -1.7423 4.1541
4.4249 0.4559 1.1374
0.2059 7.1745 5.5905
Dy Pb O
4 2 1
direct
0.0000 0.5000 0.0000
0.5000 0.0000 0.0000
0.1734 0.1734 0.6531
0.8266 0.8266 0.3469
0.3596 0.3596 0.2808
0.6404 0.6404 0.7192
0.0000 0.0000 0.0000


(9)
Er2Tm5Sc4, optimized geometry, DFT PBE; spin magnetization = 0.00 μB per formula unit; formation enthalpy at 0 K = 2.1 eV/f.u.
1.0
7.1216 0.0000 0.0000
3.5608 5.2493 0.6662
3.5608 1.7041 8.6791
Sc Er Tm
4 2 5
direct
0.3275 0.2177 0.1273
0.6725 0.7823 0.8727
0.3262 0.8532 0.4944
0.6738 0.1468 0.5056
0.8508 0.1743 0.1240
0.1492 0.8257 0.8760
0.2136 0.3522 0.7835
0.0000 0.5000 0.5000
0.6508 0.3522 0.7835
0.3492 0.6478 0.2165
0.7864 0.6478 0.2165


(10)
NaEuGa2, optimized geometry, DFT PBE; spin magnetization = 7.00 μB per formula unit; formation enthalpy at 0 K = -0.9 eV/f.u.
1.0
3.6985 0.0000 0.0000
0.0000 5.1819 0.0000
0.0000 0.0000 5.1819
Ga Eu Na
2 1 1
direct
0.0000 0.0000 0.5000
0.0000 0.5000 0.0000
0.5000 0.5000 0.5000
0.5000 0.0000 0.0000


(11)
InTc3P, optimized geometry, DFT PBE; spin magnetization = 2.04 μB per formula unit; formation enthalpy at 0 K = 1.4 eV/f.u.
1.0
-0.3505 -4.2164 -1.2764
2.3815 -1.2586 3.5036
-3.7062 -0.4100 2.3719
Tc P In
3 1 1
direct
0.0000 0.0000 0.5000
0.5000 0.0000 0.0000
0.0000 0.5000 0.0000
0.0000 0.0000 0.0000
0.5000 0.5000 0.5000


(12)
TbOs2O8, optimized geometry, DFT PBE; spin magnetization = 2.87 μB per formula unit; uncorrected formation energy = -1.453 eV/atom
1.0
6.2082 0.0000 0.0000
0.0000 6.1865 0.0000
0.0000 -3.0932 5.3577
O Os Tb
8 2 1
direct
0.6973 0.8229 0.6459
0.9188 0.3333 0.6667
0.0812 0.6667 0.3333
0.6973 0.3541 0.1771
0.3027 0.6459 0.8229
0.3027 0.1771 0.8229
0.6973 0.8229 0.1771
0.3027 0.1771 0.3541
0.8004 0.6667 0.3333
0.1996 0.3333 0.6667
0.5000 0.0000 0.0000


(13)
Ca6Tl12Pb, optimized geometry, DFT PBE; spin magnetization = 0.00 μB per formula unit; formation enthalpy at 0 K = -4.2 eV/f.u.
1.0
-5.4163 6.2094 1.2927
-6.1449 -5.4361 -1.5009
0.1406 -1.9536 8.1073
Ca Tl Pb
6 12 1
direct
0.7351 0.2911 0.1209
0.7089 0.8791 0.2649
0.2911 0.1209 0.7351
0.1209 0.7351 0.2911
0.2649 0.7089 0.8791
0.8791 0.2649 0.7089
0.1519 0.3750 0.0512
0.3750 0.0512 0.1519
0.4412 0.7934 0.5355
0.5355 0.4412 0.7934
0.5588 0.2066 0.4645
0.4645 0.5588 0.2066
0.2066 0.4645 0.5588
0.7934 0.5355 0.4412
0.6250 0.9488 0.8481
0.9488 0.8481 0.6250
0.0512 0.1519 0.3750
0.8481 0.6250 0.9488
0.0000 0.0000 0.0000


(14)
Y3In3Hg2, optimized geometry, DFT PBE; spin magnetization = 0.00 μB per formula unit; formation enthalpy at 0 K = -3.6 eV/f.u.
1.0
3.7414 0.0000 0.0000
0.0000 6.9470 -4.0109
0.0000 0.0000 8.0217
Hg In Y
2 3 3
direct
0.0000 0.6667 0.3333
0.0000 0.3333 0.6667
0.0000 0.7671 0.7671
0.0000 0.2329 0.0000
0.0000 0.0000 0.2329
0.5000 0.0000 0.6068
0.5000 0.3932 0.3932
0.5000 0.6068 0.0000


(15)
Cs2SrSiS4, optimized geometry, DFT PBE; spin magnetization = 0.00 μB per formula unit; uncorrected formation energy = -1.222 eV/atom
1.0
6.6250 0.0000 0.0000
3.3125 7.1420 0.0000
3.3125 0.0000 13.3409
S Si Cs Sr
8 2 4 2
direct
0.3841 0.6834 0.4062
0.3659 0.8166 0.0938
0.4737 0.3166 0.5938
0.2763 0.1834 0.9062
0.5403 0.1834 0.0938
0.8176 0.8166 0.9062
0.2097 0.3166 0.4062
0.9324 0.6834 0.5938
0.2500 0.5000 0.5000
0.5000 0.0000 0.0000
0.1836 0.0000 0.6328
0.8164 0.0000 0.3672
0.5664 0.5000 0.8672
0.9336 0.5000 0.1328
0.0000 0.0000 0.0000
0.7500 0.5000 0.5000


(16)
InHgTe2, optimized geometry, DFT PBE; spin magnetization = 0.00 μB per formula unit; uncorrected formation energy = 0.010 eV/atom
1.0
3.1616 0.0000 0.0000
0.0000 6.1457 0.0000
0.0000 0.0000 6.2777
In Te Hg
1 2 1
direct
0.5000 0.5000 0.7500
0.0000 0.0000 0.5016
0.0000 0.0000 0.9984
0.5000 0.5000 0.2500


(17)
RbMgTiSi2, optimized geometry, DFT PBE; spin magnetization = 0.00 μB per formula unit; uncorrected formation energy = 2.122 eV/atom
1.0
5.2664 0.0000 0.0000
0.0000 5.1321 0.0000
0.0000 0.0000 5.2664
Mg Ti Si Rb
1 1 2 1
direct
0.0000 0.5000 0.0000
0.5000 0.5000 0.5000
0.5000 0.0000 0.0000
0.0000 0.0000 0.5000
0.0000 0.0000 0.0000


(18)
V9Ru11W4, optimized geometry, DFT PBE; spin magnetization = 0.00 μB per formula unit; formation enthalpy at 0 K = -2.9 eV/f.u.
1.0
-0.6649 1.3301 2.4605
5.5805 -7.6405 5.6383
7.8493 7.4830 -1.9241
Ru W V
11 4 9
direct
0.0000 0.0000 0.0000
0.0000 0.0485 0.3915
0.0000 0.8121 0.1879
0.0000 0.2036 0.2036
0.0000 0.6085 0.9515
0.0000 0.9515 0.6085
0.0000 0.3632 0.6368
0.0000 0.6368 0.3632
0.0000 0.1879 0.8121
0.0000 0.3915 0.0485
0.0000 0.7964 0.7964
0.5000 0.7380 0.5783
0.5000 0.4217 0.2620
0.5000 0.5783 0.7380
0.5000 0.2620 0.4217
0.5000 0.0103 0.2017
0.5000 0.5000 0.5000
0.5000 0.8469 0.3965
0.5000 0.2017 0.0103
0.5000 0.9897 0.7983
0.5000 0.3965 0.8469
0.5000 0.6035 0.1531
0.5000 0.7983 0.9897
0.5000 0.1531 0.6035